No. 1
Zr3ZnIr: PBEsol geometry, SCAN.

Space group: Pm-3m, No. 221

Cell: 4.9847 4.9847 4.9847 Å, 90.00 90.00 90.00°
Last column: nearest neighbours and their distance in Å.
Atoms (fractional coordinates):
1 Zr 0.0000 0.0000 0.5000  2 Ir 2.49
2 Zr 0.0000 0.5000 0.0000  2 Ir 2.49
3 Zr 0.5000 0.0000 0.0000  2 Ir 2.49
4 Zn 0.5000 0.5000 0.5000  12 Zr 3.52
5 Ir 0.0000 0.0000 0.0000  6 Zr 2.49



No. 2
ZrZnIr2: PBEsol geometry, SCAN.

Space group: Pmmm, No. 47

Cell: 3.1061 3.3771 5.8803 Å, 90.00 90.00 90.00°
Last column: nearest neighbours and their distance in Å.
Atoms (fractional coordinates):
1 Zr 0.0000 0.0000 0.0000  8 Ir 2.77, 2 Zn 2.94
2 Zn 0.0000 0.0000 0.5000  8 Ir 2.68, 2 Zr 2.94
3 Ir 0.5000 0.5000 0.2635  4 Zn 2.68, 4 Zr 2.77, 1 Ir 2.78
4 Ir 0.5000 0.5000 0.7365  4 Zn 2.68, 4 Zr 2.77, 1 Ir 2.78



No. 3
ZrZnIr2: PBEsol geometry, SCAN.

Space group: P4mm, No. 99

Cell: 2.8098 2.8098 7.8366 Å, 90.00 90.00 90.00°
Last column: nearest neighbours and their distance in Å.
Atoms (fractional coordinates):
1 Zr 0.0000 0.0000 0.0000  4 Zr 2.81, 4 Ir 2.91, 4 Zn 2.94
2 Zn 0.5000 0.5000 0.7243  4 Ir 2.65, 4 Zn 2.81, 4 Zr 2.94
3 Ir 0.0000 0.0000 0.5013  4 Zn 2.65, 8 Ir 2.69-2.81
4 Ir 0.5000 0.5000 0.2707  8 Ir 2.69-2.81, 4 Zr 2.91



No. 4
ZrZnIr2: PBEsol geometry, SCAN.

Space group: P4mm, No. 99

Cell: 3.4139 3.4139 5.4674 Å, 90.00 90.00 90.00°
Last column: nearest neighbours and their distance in Å.
Atoms (fractional coordinates):
1 Zr 0.0000 0.0000 0.0000  6 Ir 2.59-2.88
2 Zn 0.5000 0.5000 0.7044  6 Ir 2.60-2.79, 4 Zr 2.91
3 Ir 0.0000 0.0000 0.5262  2 Zr 2.59-2.88, 4 Zn 2.60
4 Ir 0.5000 0.5000 0.2149  2 Zn 2.68-2.79, 4 Zr 2.68, 4 Ir 2.95



No. 5
ZrIr2: PBEsol geometry, SCAN.

Space group: Fd-3m, No. 227

Cell: 5.1943 5.1943 5.1943 Å, 60.00 60.00 60.00°
Last column: nearest neighbours and their distance in Å.
Atoms (fractional coordinates):
1 Zr 0.1250 0.1250 0.1250  12 Ir 3.05, 4 Zr 3.18
2 Zr 0.8750 0.8750 0.8750  12 Ir 3.05, 4 Zr 3.18
3 Ir 0.0000 0.5000 0.5000  6 Ir 2.60
4 Ir 0.5000 0.0000 0.5000  6 Ir 2.60
5 Ir 0.5000 0.5000 0.0000  6 Ir 2.60
6 Ir 0.5000 0.5000 0.5000  6 Ir 2.60



No. 6
Zr3Ir4: PBEsol geometry, SCAN.

Space group: R-3, No. 148

Cell: 7.2755 7.2755 7.2755 Å, 113.80 113.80 113.80°
Last column: nearest neighbours and their distance in Å.
Atoms (fractional coordinates):
1 Zr 0.0075 0.2659 0.4047  8 Ir 2.67-2.89
2 Zr 0.2659 0.4047 0.0075  8 Ir 2.67-2.89
3 Zr 0.4047 0.0075 0.2659  8 Ir 2.67-2.89
4 Zr 0.5953 0.9925 0.7341  8 Ir 2.67-2.89
5 Zr 0.7341 0.5953 0.9925  8 Ir 2.67-2.89
6 Zr 0.9925 0.7341 0.5953  8 Ir 2.67-2.89
7 Ir 0.0000 0.0000 0.0000  6 Zr 2.76, 2 Ir 2.77
8 Ir 0.0734 0.5345 0.2389  6 Zr 2.67-2.84, 3 Ir 2.94-2.96
9 Ir 0.2389 0.0734 0.5345  6 Zr 2.67-2.84, 3 Ir 2.94-2.96
10 Ir 0.4655 0.7612 0.9266  6 Zr 2.67-2.84, 3 Ir 2.94-2.96
11 Ir 0.5000 0.5000 0.5000  8 Ir 2.77-3.09, 6 Zr 2.89
12 Ir 0.5345 0.2389 0.0734  6 Zr 2.67-2.84, 3 Ir 2.94-2.96
13 Ir 0.7612 0.9266 0.4655  6 Zr 2.67-2.84, 3 Ir 2.94-2.96
14 Ir 0.9266 0.4655 0.7612  6 Zr 2.67-2.84, 3 Ir 2.94-2.96



No. 7
Zr3Ir: PBEsol geometry, SCAN.

Space group: Pnma, No. 62

Cell: 6.2334 9.2045 5.7337 Å, 90.00 90.00 90.00°
Last column: nearest neighbours and their distance in Å.
Atoms (fractional coordinates):
1 Zr 0.0370 0.2500 0.1636  2 Ir 2.70-2.71
2 Zr 0.2055 0.0508 0.6286  2 Ir 2.64-2.69
3 Zr 0.2055 0.4492 0.6286  2 Ir 2.64-2.69
4 Zr 0.2945 0.5508 0.1286  2 Ir 2.64-2.69
5 Zr 0.2945 0.9492 0.1286  2 Ir 2.64-2.69
6 Zr 0.4630 0.7500 0.6636  2 Ir 2.70-2.71
7 Zr 0.5370 0.2500 0.3364  2 Ir 2.70-2.71
8 Zr 0.7055 0.0508 0.8714  2 Ir 2.64-2.69
9 Zr 0.7055 0.4492 0.8714  2 Ir 2.64-2.69
10 Zr 0.7945 0.5508 0.3714  2 Ir 2.64-2.69
11 Zr 0.7945 0.9492 0.3714  2 Ir 2.64-2.69
12 Zr 0.9630 0.7500 0.8364  2 Ir 2.70-2.71
13 Ir 0.1095 0.7500 0.3906  6 Zr 2.64-2.71
14 Ir 0.3905 0.2500 0.8906  6 Zr 2.64-2.71
15 Ir 0.6095 0.7500 0.1094  6 Zr 2.64-2.71
16 Ir 0.8905 0.2500 0.6094  6 Zr 2.64-2.71



No. 8
Zr3Ir: PBEsol geometry, SCAN.

Space group: Immm, No. 71

Cell: 5.6388 5.6388 5.6388 Å, 145.12 130.72 61.79°
Last column: nearest neighbours and their distance in Å.
Atoms (fractional coordinates):
1 Zr 0.0000 0.0000 0.0000  4 Ir 2.90, 4 Zr 3.09
2 Zr 0.2674 0.7674 0.5000  2 Ir 2.81, 6 Zr 2.92-3.09
3 Zr 0.7326 0.2326 0.5000  2 Ir 2.81, 6 Zr 2.92-3.09
4 Ir 0.5000 0.5000 0.0000  8 Zr 2.81-2.90



no.,energy relative to the elements (meV per atom),D(E_F) (states/eV per cell)
1,112,8.5
2,-765,1.1
3,-233,4.0
4,-388,1.5
5,-880,4.8
6,-951,8.8
7,-605,18.4
8,-568,3.7